1.
An optimized crystal structure of AcSmPt. Source: Alexandria via LeMat-Bulk, functional GGA-PBE.

For the size of the total moment, the calculation gives 0.0 μB/f.u. The value obtained for the calculated volume is 106 Å³/cell. The energy of formation is -742 meV/atom. As for the density of states at the Fermi level: 2.9 states/eV/f.u. The value obtained for the total DFT energy (no corrections) is -17.1 eV per cell.

Cell: 4.3002 4.3002 6.6346 Å, 90.00 90.00 120.00°
Atoms (fractional coordinates):
Ac1 0.0000 0.0000 0.0853
Sm1 0.3333 0.6667 0.5665
Pt1 0.6667 0.3333 0.3482

2.
An optimized crystal structure of AcSm2Pt4. Source: Alexandria via LeMat-Bulk, functional GGA-PBE.

For the size of the total moment, the calculation gives 0.0 μB/f.u. The value obtained for the calculated volume is 169 Å³/cell. The energy of formation is -1145 meV/atom. As for the density of states at the Fermi level: 3.4 states/eV/f.u. The value obtained for the total DFT energy (no corrections) is -45.7 eV per cell.

Cell: 4.3684 4.0462 10.0145 Å, 101.65 102.60 90.00°
Atoms (fractional coordinates):
Pt1 0.3404 0.3404 0.6807
Pt2 0.9299 0.4299 0.8598
Pt3 0.0701 0.5701 0.1402
Pt4 0.6596 0.6596 0.3193
Sm1 0.8121 0.8121 0.6242
Sm2 0.1879 0.1879 0.3758
Ac1 0.5000 0.0000 0.0000

3.
An optimized crystal structure of Ac4SmPt4. Source: Alexandria via LeMat-Bulk, functional GGA-PBE.

For the size of the total moment, the calculation gives 0.0 μB/f.u. The value obtained for the calculated volume is 290 Å³/cell. The energy of formation is -1054 meV/atom. As for the density of states at the Fermi level: 5.4 states/eV/f.u. The value obtained for the total DFT energy (no corrections) is -54.8 eV per cell.

Cell: 4.3839 7.5051 9.6752 Å, 75.02 76.91 73.02°
Atoms (fractional coordinates):
Ac1 0.2992 0.5906 0.8109
Ac2 0.7008 0.4094 0.1891
Ac3 0.1091 0.1744 0.6075
Ac4 0.8909 0.8256 0.3925
Pt1 0.0926 0.7153 0.0995
Pt2 0.9074 0.2847 0.9005
Pt3 0.2971 0.1102 0.2956
Pt4 0.7029 0.8898 0.7044
Sm1 0.5000 0.0000 0.0000

4.
An optimized crystal structure of AcSmPt. Source: Alexandria via LeMat-Bulk, functional GGA-PBE.

For the size of the total moment, the calculation gives 0.0 μB/f.u. The value obtained for the calculated volume is 97 Å³/cell. The energy of formation is -670 meV/atom. As for the density of states at the Fermi level: 3.4 states/eV/f.u. The value obtained for the total DFT energy (no corrections) is -16.9 eV per cell.

Cell: 5.1528 5.1528 5.1528 Å, 60.00 60.00 60.00°
Atoms (fractional coordinates):
Sm1 0.5000 0.5000 0.5000
Ac1 0.0000 0.0000 0.0000
Pt1 0.2500 0.2500 0.2500

5.
An optimized crystal structure of AcSmPt. Source: Alexandria via LeMat-Bulk, functional GGA-PBE.

For the size of the total moment, the calculation gives 0.0 μB/f.u. The value obtained for the calculated volume is 184 Å³/cell. The energy of formation is -796 meV/atom. As for the density of states at the Fermi level: 3.0 states/eV/f.u. The value obtained for the total DFT energy (no corrections) is -34.5 eV per cell.

Cell: 5.0124 5.0125 7.3201 Å, 89.20 89.23 90.02°
Atoms (fractional coordinates):
Ac1 0.3145 0.3674 0.3032
Ac2 0.8123 0.8651 0.5360
Pt1 0.8058 0.8583 0.1294
Pt2 0.3216 0.3749 0.7098
Sm1 0.8154 0.3647 0.9196
Sm2 0.3118 0.8684 0.9196

6.
An optimized crystal structure of Ac5SmPt4. Source: Alexandria via LeMat-Bulk, functional GGA-PBE.

For the size of the total moment, the calculation gives 0.0 μB/f.u. The value obtained for the calculated volume is 344 Å³/cell. The energy of formation is -946 meV/atom. As for the density of states at the Fermi level: 7.2 states/eV/f.u. The value obtained for the total DFT energy (no corrections) is -58.9 eV per cell.

Cell: 4.3679 8.5993 9.7082 Å, 103.98 103.00 90.00°
Atoms (fractional coordinates):
Pt1 0.3342 0.9078 0.6684
Pt2 0.0007 0.7528 0.0014
Pt3 0.9993 0.2472 0.9986
Pt4 0.6658 0.0922 0.3316
Ac1 0.1669 0.8479 0.3338
Ac2 0.5000 0.5000 0.0000
Ac3 0.8331 0.1521 0.6662
Ac4 0.8384 0.6717 0.6767
Ac5 0.1616 0.3283 0.3233
Sm1 0.5000 0.0000 0.0000

7.
An optimized crystal structure of AcSmPt4. Source: Alexandria via LeMat-Bulk, functional GGA-PBE.

For the size of the total moment, the calculation gives 0.0 μB/f.u. The value obtained for the calculated volume is 122 Å³/cell. The energy of formation is -1040 meV/atom. As for the density of states at the Fermi level: 1.4 states/eV/f.u. The value obtained for the total DFT energy (no corrections) is -39.2 eV per cell.

Cell: 5.5741 5.5741 5.5741 Å, 60.00 60.00 60.00°
Atoms (fractional coordinates):
Pt1 0.6247 0.6247 0.1258
Pt2 0.6247 0.6247 0.6247
Pt3 0.1258 0.6247 0.6247
Pt4 0.6247 0.1258 0.6247
Sm1 0.2500 0.2500 0.2500
Ac1 0.0000 0.0000 0.0000

8.
An optimized crystal structure of AcSmPt. Source: Alexandria via LeMat-Bulk, functional GGA-PBE.

For the size of the total moment, the calculation gives 0.0 μB/f.u. The value obtained for the calculated volume is 183 Å³/cell. The energy of formation is -680 meV/atom. As for the density of states at the Fermi level: 3.6 states/eV/f.u. The value obtained for the total DFT energy (no corrections) is -33.8 eV per cell.

Cell: 5.1808 5.3495 7.0962 Å, 90.00 111.21 90.00°
Atoms (fractional coordinates):
Sm1 0.1280 0.2500 0.2591
Sm2 0.8720 0.7500 0.7409
Ac1 0.3936 0.2500 0.7862
Ac2 0.6064 0.7500 0.2138
Pt1 0.7335 0.2500 0.4713
Pt2 0.2665 0.7500 0.5287

9.
An optimized crystal structure of AcSm3Pt. Source: Alexandria via LeMat-Bulk, functional GGA-PBE.

For the size of the total moment, the calculation gives 0.0 μB/f.u. The value obtained for the calculated volume is 182 Å³/cell. The energy of formation is -354 meV/atom. As for the density of states at the Fermi level: 10.8 states/eV/f.u. The value obtained for the total DFT energy (no corrections) is -26.1 eV per cell.

Cell: 5.6626 5.6626 5.6626 Å, 90.00 90.00 90.00°
Atoms (fractional coordinates):
Sm1 0.0000 0.0000 0.5000
Sm2 0.0000 0.5000 0.0000
Sm3 0.5000 0.0000 0.0000
Pt1 0.0000 0.0000 0.0000
Ac1 0.5000 0.5000 0.5000

10.
An optimized crystal structure of Ac5Sm2Pt5. Source: Alexandria via LeMat-Bulk, functional GGA-PBE.

For the size of the total moment, the calculation gives 0.0 μB/f.u. The value obtained for the calculated volume is 378 Å³/cell. The energy of formation is -999 meV/atom. As for the density of states at the Fermi level: 6.6 states/eV/f.u. The value obtained for the total DFT energy (no corrections) is -72.2 eV per cell.

Cell: 4.2482 7.4786 13.1659 Å, 70.97 80.72 73.50°
Atoms (fractional coordinates):
Ac1 0.2580 0.1269 0.3572
Ac2 0.3461 0.2577 0.0502
Ac3 0.5000 0.5000 0.5000
Ac4 0.7420 0.8731 0.6428
Ac5 0.6539 0.7423 0.9498
Sm1 0.0413 0.7044 0.2129
Sm2 0.9587 0.2956 0.7871
Pt1 0.1138 0.1892 0.5833
Pt2 0.6865 0.4399 0.1871
Pt3 0.0000 0.0000 0.0000
Pt4 0.8862 0.8108 0.4167
Pt5 0.3135 0.5601 0.8129

11.
An optimized crystal structure of AcSmPt. Source: Alexandria via LeMat-Bulk, functional GGA-PBE.

For the size of the total moment, the calculation gives 0.0 μB/f.u. The value obtained for the calculated volume is 420 Å³/cell. The energy of formation is -748 meV/atom. As for the density of states at the Fermi level: 3.2 states/eV/f.u. The value obtained for the total DFT energy (no corrections) is -68.5 eV per cell.

Cell: 7.2881 6.9667 8.2918 Å, 93.50 90.00 90.00°
Atoms (fractional coordinates):
Ac1 0.4146 0.2393 0.8840
Ac2 0.0854 0.7393 0.3840
Ac3 0.9146 0.2607 0.6160
Ac4 0.5854 0.7607 0.1160
Pt1 0.2403 0.0061 0.1403
Pt2 0.7403 0.4939 0.3597
Pt3 0.2597 0.5061 0.6403
Pt4 0.7597 0.9939 0.8597
Sm1 0.5768 0.7480 0.6129
Sm2 0.4232 0.2520 0.3871
Sm3 0.9232 0.2480 0.1129
Sm4 0.0768 0.7520 0.8871

12.
An optimized crystal structure of Ac3SmPt. Source: Alexandria via LeMat-Bulk, functional GGA-PBE.

For the size of the total moment, the calculation gives 1.2 μB/f.u. The value obtained for the calculated volume is 212 Å³/cell. The energy of formation is -286 meV/atom. As for the density of states at the Fermi level: 10.2 states/eV/f.u. The value obtained for the total DFT energy (no corrections) is -24.5 eV per cell.

Cell: 5.9584 5.9584 5.9584 Å, 90.00 90.00 90.00°
Atoms (fractional coordinates):
Sm1 0.5000 0.5000 0.5000
Pt1 0.0000 0.0000 0.0000
Ac1 0.0000 0.0000 0.5000
Ac2 0.0000 0.5000 0.0000
Ac3 0.5000 0.0000 0.0000

Calculated values (g/cm³) of mass density for the records, taken in order: 8.95; 12.85; 10.52; 9.83; 10.34; 9.97; 15.70; 10.37; 7.99; 10.59; 9.05; 8.06.